Entry 1:
Material: Pr2InAg6
Method: DFT, GGA-PBE
State: optimized geometry

```
data_Pr2InAg6
_chemical_formula_sum 'Pr2 In1 Ag6'
_cell_length_a 6.2560
_cell_length_b 6.2560
_cell_length_c 6.0613
_cell_angle_alpha 90.00
_cell_angle_beta 90.00
_cell_angle_gamma 120.00
_space_group_name_H-M_alt 'P -3 m 1'
_space_group_IT_number 164
_space_group_name_Hall '-P 3 2"'
loop_
_atom_site_label
_atom_site_fract_x
_atom_site_fract_y
_atom_site_fract_z
Pr1 0.3333 0.6667 0.1571
In1 0.0000 0.0000 0.0000
Ag1 0.1827 0.3654 0.6664
```

---

Entry 2:
# GGA-PBE PrInAg2, optimized geometry
# Polymorph energy (0 for the lowest one) in meV per atom: 177
data_PrInAg2
_chemical_formula_sum 'Pr1 In1 Ag2'
_cell_length_a 4.736
_cell_length_b 4.736
_cell_length_c 4.359
_cell_angle_alpha 90.00
_cell_angle_beta 90.00
_cell_angle_gamma 90.00
_space_group_name_H-M_alt 'P 4/m m m'
_space_group_IT_number 123
_space_group_name_Hall '-P 4 2'
loop_
_atom_site_label
_atom_site_fract_x
_atom_site_fract_y
_atom_site_fract_z
Pr1 0.000 0.000 0.000
In1 0.500 0.500 0.000
Ag1 0.000 0.500 0.500

---

Entry 3:
# GGA-PBE Pr2In3Ag, optimized geometry
# Polymorph energy (0 for the lowest one) in meV per atom: 6
data_Pr2In3Ag
_chemical_formula_sum 'Pr16 In24 Ag8'
_cell_length_a 7.613
_cell_length_b 9.885
_cell_length_c 17.165
_cell_angle_alpha 90.00
_cell_angle_beta 90.00
_cell_angle_gamma 90.00
_space_group_name_H-M_alt 'F m m m'
_space_group_IT_number 69
_space_group_name_Hall '-F 2 2'
loop_
_atom_site_label
_atom_site_fract_x
_atom_site_fract_y
_atom_site_fract_z
Pr1 0.244 0.000 0.000
Pr2 0.250 0.250 0.250
In1 0.000 0.000 0.331
In2 0.000 0.247 0.085
Ag1 0.000 0.000 0.168

---

Entry 4:
# GGA-PBE Pr3In3Ag2, optimized geometry
# Polymorph energy (0 for the lowest one) in meV per atom: 0
data_Pr3In3Ag2
_chemical_formula_sum 'Pr12 In12 Ag8'
_cell_length_a 4.818
_cell_length_b 11.294
_cell_length_c 16.095
_cell_angle_alpha 90.00
_cell_angle_beta 90.00
_cell_angle_gamma 90.00
_space_group_name_H-M_alt 'C m c m'
_space_group_IT_number 63
_space_group_name_Hall '-C 2c 2'
loop_
_atom_site_label
_atom_site_fract_x
_atom_site_fract_y
_atom_site_fract_z
Pr1 0.000 0.094 0.108
Pr2 0.000 0.359 0.250
In1 0.000 0.352 0.750
In2 0.000 0.386 0.041
Ag1 0.000 0.206 0.602

---

Entry 5:
# GGA-PBE Pr2In3Ag, optimized geometry
# Polymorph energy (0 for the lowest one) in meV per atom: 0
data_Pr2In3Ag
_chemical_formula_sum 'Pr2 In3 Ag1'
_cell_length_a 3.790
_cell_length_b 4.955
_cell_length_c 8.581
_cell_angle_alpha 90.00
_cell_angle_beta 90.00
_cell_angle_gamma 90.00
_space_group_name_H-M_alt 'P m m 2'
_space_group_IT_number 25
_space_group_name_Hall 'P 2 -2'
loop_
_atom_site_label
_atom_site_fract_x
_atom_site_fract_y
_atom_site_fract_z
Pr1 0.000 0.000 0.000
Pr2 0.000 0.500 0.496
In1 0.500 0.000 0.655
In2 0.500 0.500 0.173
In3 0.500 0.500 0.834
Ag1 0.500 0.000 0.327

---

Entry 6:
Material: Pr4In2Ag3
Method: DFT, GGA-PBE
State: optimized geometry

```
data_Pr4In2Ag3
_chemical_formula_sum 'Pr8 In4 Ag6'
_cell_length_a 10.553
_cell_length_b 5.094
_cell_length_c 9.434
_cell_angle_alpha 90.00
_cell_angle_beta 106.09
_cell_angle_gamma 90.00
_space_group_name_H-M_alt 'C 1 2/m 1'
_space_group_IT_number 12
_space_group_name_Hall '-C 2y'
loop_
_atom_site_label
_atom_site_fract_x
_atom_site_fract_y
_atom_site_fract_z
Pr1 0.063 0.000 0.350
Pr2 0.141 0.500 0.898
In1 0.230 0.500 0.270
Ag1 0.000 0.000 0.000
Ag2 0.135 0.500 0.563
```

---

| no. | formation enthalpy at 0 K (eV/atom) |
| --- | --- |
| 1 | -0.21 |
| 2 | -0.18 |
| 3 | -0.45 |
| 4 | -0.41 |
| 5 | -0.46 |
| 6 | -0.32 |